A plane-wave DFT calculation with PBE-GGA was carried out for TcIrRh3 after structural relaxation.

Its formation energy from the elements is 8.56 kcal/mol of atoms. The polymorph energy (0 for the lowest one) is 0 kJ/mol of formula units. The space group is Pmma (51). For the density of states at the Fermi level, the calculation gives 14.6 states/eV/cell.

The structure in CIF format:
```
data_TcIrRh3
_cell_length_a 8.9527
_cell_length_b 2.6805
_cell_length_c 6.5166
_cell_angle_alpha 90.00
_cell_angle_beta 90.00
_cell_angle_gamma 90.00
_space_group_name_H-M_alt 'P 1'
_space_group_IT_number 1
_space_group_name_Hall 'P 1'
loop_
_atom_site_label
_atom_site_type_symbol
_atom_site_fract_x
_atom_site_fract_y
_atom_site_fract_z
Tc1 Tc 0.2500 0.0000 0.0876
Tc2 Tc 0.7500 0.0000 0.9124
Ir1 Ir 0.2500 0.5000 0.7418
Ir2 Ir 0.7500 0.5000 0.2582
Rh1 Rh 0.0000 0.5000 0.0000
Rh2 Rh 0.1074 0.5000 0.3831
Rh3 Rh 0.3926 0.5000 0.3831
Rh4 Rh 0.5000 0.5000 0.0000
Rh5 Rh 0.6074 0.5000 0.6169
Rh6 Rh 0.8926 0.5000 0.6169
```

A plane-wave DFT calculation with PBE-GGA was carried out for NdSmAu after structural relaxation.

Its formation energy from the elements is -8.49 kcal/mol of atoms. The polymorph energy (0 for the lowest one) is 37 kJ/mol of formula units. The space group is F-43m (216). For the density of states at the Fermi level, the calculation gives 5.3 states/eV/cell.

The structure in CIF format:
```
data_NdSmAu
_cell_length_a 5.1082
_cell_length_b 5.1082
_cell_length_c 5.1082
_cell_angle_alpha 60.00
_cell_angle_beta 60.00
_cell_angle_gamma 60.00
_space_group_name_H-M_alt 'P 1'
_space_group_IT_number 1
_space_group_name_Hall 'P 1'
loop_
_atom_site_label
_atom_site_type_symbol
_atom_site_fract_x
_atom_site_fract_y
_atom_site_fract_z
Nd1 Nd 0.0000 0.0000 0.0000
Sm1 Sm 0.5000 0.5000 0.5000
Au1 Au 0.2500 0.2500 0.2500
```